Record 1
Entry from Alexandria via LeMat-Bulk: a geometry-optimized Nd3CuHg structure (PBE-GGA).

Computed properties:
- M_tot (μB/atom) = 0.0000
- ΔH_f (0 K) (eV/atom) = -0.08
- total DFT energy (no corrections) (eV per atom) = -3.820
- Fermi-level density of states (states/eV per cell) = 10.92
- relative energy among the computed polymorphs (meV per atom) = 132
- space-group type = P1

a = 3.9742 Å, b = 9.1573 Å, c = 9.1551 Å
α = 66.18°, β = 90.00°, γ = 90.00°
Last column: nearest neighbours and their distance in Å.
Atoms (fractional coordinates):
1 Nd 0.8648 0.3816 0.8311  2 Cu 2.93
2 Nd 0.3624 0.3611 0.4133  2 Cu 2.81
3 Cu 0.3623 0.6944 0.2460  6 Nd 2.81-2.93
4 Hg 0.8625 0.1942 0.2467  8 Nd 3.24-3.49
5 Nd 0.3625 0.0276 0.0798  2 Cu 2.81
6 Nd 0.8621 0.6092 0.0590  2 Cu 2.93
7 Cu 0.3652 0.1940 0.7464  6 Nd 2.81-2.93
8 Hg 0.3635 0.6941 0.7464  8 Nd 3.31
9 Nd 0.8649 0.0066 0.6618  2 Cu 2.93
10 Nd 0.8621 0.7786 0.4339  2 Cu 2.93

=====

Record 2
Entry from Alexandria via LeMat-Bulk: a geometry-optimized Mg6Hg5Pb structure (PBE-GGA).

Computed properties:
- M_tot (μB/atom) = 0.0000
- ΔH_f (0 K) (eV/atom) = -0.18
- total DFT energy (no corrections) (eV per atom) = -1.414
- Fermi-level density of states (states/eV per cell) = 3.92
- space-group type = C2/m

a = 8.7128 Å, b = 4.8906 Å, c = 7.7868 Å
α = 71.70°, β = 80.36°, γ = 57.77°
Last column: nearest neighbours and their distance in Å.
Atoms (fractional coordinates):
1 Pb 0.0000 0.0000 0.0000  8 Mg 3.08-3.19
2 Hg 0.0000 0.3334 0.3333  8 Mg 3.04-3.16
3 Mg 0.2665 0.2329 0.0000  6 Hg 2.95-3.15, 2 Pb 3.08-3.19
4 Mg 0.7420 0.0892 0.3435  7 Hg 2.98-3.16, 1 Pb 3.17
5 Hg 0.0000 0.6666 0.6667  8 Mg 3.04-3.16
6 Hg 0.5000 0.1665 0.6670  8 Mg 2.98-3.06
7 Mg 0.2580 0.9108 0.6565  7 Hg 2.98-3.16, 1 Pb 3.17
8 Mg 0.2580 0.5673 0.3435  7 Hg 2.98-3.16, 1 Pb 3.17
9 Mg 0.7420 0.4327 0.6565  7 Hg 2.98-3.16, 1 Pb 3.17
10 Mg 0.7335 0.7671 0.0000  6 Hg 2.95-3.15, 2 Pb 3.08-3.19
11 Hg 0.5000 0.5000 0.0000  8 Mg 2.95-3.10
12 Hg 0.5000 0.8335 0.3330  8 Mg 2.98-3.06

=====

Record 3
Entry from Alexandria via LeMat-Bulk: a geometry-optimized NaHg12Pb3 structure (PBE-GGA).

Computed properties:
- M_tot (μB/atom) = 0.0000
- ΔH_f (0 K) (eV/atom) = -0.02
- total DFT energy (no corrections) (eV per atom) = -1.021
- Fermi-level density of states (states/eV per cell) = 6.86
- space-group type = P4/mmm

a = 4.7306 Å, b = 4.7306 Å, c = 19.0173 Å
α = 90.00°, β = 90.00°, γ = 90.00°
Last column: nearest neighbours and their distance in Å.
Atoms (fractional coordinates):
1 Hg 0.0000 0.5000 0.8808  8 Hg 3.28-3.39, 2 Na 3.28, 2 Pb 3.43
2 Hg 0.5000 0.5000 0.0000  8 Hg 3.28, 4 Na 3.35
3 Hg 0.5000 0.5000 0.7532  4 Pb 3.35, 8 Hg 3.37-3.39
4 Hg 0.0000 0.5000 0.3732  4 Pb 3.33-3.38, 8 Hg 3.35-3.38
5 Hg 0.0000 0.5000 0.6268  4 Pb 3.33-3.38, 8 Hg 3.35-3.38
6 Hg 0.5000 0.0000 0.1192  8 Hg 3.28-3.39, 2 Na 3.28, 2 Pb 3.43
7 Na 0.0000 0.0000 0.0000  12 Hg 3.28-3.35
8 Hg 0.0000 0.5000 0.1192  8 Hg 3.28-3.39, 2 Na 3.28, 2 Pb 3.43
9 Hg 0.5000 0.0000 0.3732  4 Pb 3.33-3.38, 8 Hg 3.35-3.38
10 Hg 0.5000 0.5000 0.5000  4 Pb 3.35, 8 Hg 3.38
11 Hg 0.5000 0.0000 0.6268  4 Pb 3.33-3.38, 8 Hg 3.35-3.38
12 Hg 0.5000 0.5000 0.2468  4 Pb 3.35, 8 Hg 3.37-3.39
13 Pb 0.0000 0.0000 0.2501  12 Hg 3.33-3.43
14 Hg 0.5000 0.0000 0.8808  8 Hg 3.28-3.39, 2 Na 3.28, 2 Pb 3.43
15 Pb 0.0000 0.0000 0.7499  12 Hg 3.33-3.43
16 Pb 0.0000 0.0000 0.5000  12 Hg 3.35-3.38